Below is a geometry-optimized Sm2HgPd4 structure, with properties calculated at the GGA-PBE level.

The calculation puts the formation energy at -4.8 eV/f.u. Its total magnetization is 0.00 μB/atom.

a = 4.1337 Å, b = 4.1337 Å, c = 9.6002 Å
α = 102.43°, β = 102.43°, γ = 90.00°
With the nearest neighbours (Å) after each atom.
Positions (direct):
Sm 0.3720 0.3720 0.7441  8 Pd 2.94-3.04
Pd 0.2500 0.7500 0.5000  8 Pd 2.80-2.92, 4 Sm 3.04
Pd 0.8533 0.8533 0.7066  1 Hg 2.68, 4 Pd 2.80, 4 Sm 2.94
Hg 0.0000 0.0000 0.0000  2 Pd 2.68
Pd 0.7500 0.2500 0.5000  8 Pd 2.80-2.92, 4 Sm 3.04
Sm 0.6280 0.6280 0.2559  8 Pd 2.94-3.04
Pd 0.1467 0.1467 0.2934  1 Hg 2.68, 4 Pd 2.80, 4 Sm 2.94